A plane-wave DFT calculation with PBE was carried out for a relaxed MnVSb2Pd crystal.

Calculated values
**N(E_F)**: 8.4 states/eV per cell
**Energy relative to the elements, uncorrected**: 918 meV per atom
**Space-group type**: No. 123
**Size of the total moment**: 2.6 μB per formula unit

POSCAR file:
```
MnVSb2Pd
1.0
-1.0349 -4.5475 -1.4666
1.6654 -1.7044 4.1097
-4.4602 0.3812 1.9655
Sb Mn Pd V
2 1 1 1
Cartesian
-2.2301 0.1906 0.9827 Sb
-0.5175 -2.2737 -0.7333 Sb
0.0000 0.0000 0.0000 Mn
0.8327 -0.8522 2.0548 Pd
-1.9149 -2.9353 2.3043 V
```